(1)
Entry from Alexandria via LeMat-Bulk: crystalline Sm4HgRh3 at its relaxed geometry (PBE).

Summary:
DFT formation energy = -629 meV/atom
N(E_F) = 11.08 states/eV/cell
Calculated density = 10.1 Mg/m³

```
16
Lattice="5.015 0.000 0.000 0.000 7.255 0.000 0.000 0.000 10.032" Properties=species:S:1:pos:R:3 pbc="T T T"
Rh 2.508 3.628 7.524
Sm 2.507 1.724 0.000
Sm 5.015 5.531 7.524
Sm 2.507 5.531 0.000
Rh 2.509 0.000 2.508
Sm 0.000 5.531 2.508
Hg 0.000 3.628 5.016
Rh 2.507 3.628 2.508
Sm 5.015 1.724 7.524
Sm 0.000 1.724 2.508
Hg 0.000 3.628 0.000
Rh 0.000 0.000 0.000
Sm 2.507 5.531 5.016
Rh 0.000 0.000 5.016
Rh 2.506 0.000 7.524
Sm 2.507 1.724 5.016
```


(2)
Entry from Alexandria via LeMat-Bulk: crystalline Ho2Th3Sc7 at its relaxed geometry (PBE).

Summary:
DFT formation energy = 109 meV/atom
N(E_F) = 19.93 states/eV/cell
Calculated density = 6.7 Mg/m³

```
12
Lattice="3.348 0.000 0.000 0.000 5.969 0.789 0.000 1.929 16.859" Properties=species:S:1:pos:R:3 pbc="T T T"
Sc 1.674 7.161 14.838
Th 0.000 6.508 11.841
Ho 1.674 4.413 5.963
Sc 1.674 5.465 9.088
Ho 1.674 3.485 11.685
Sc 0.000 0.000 0.000
Sc 1.674 2.433 8.560
Th 1.674 2.985 0.395
Sc 0.000 3.673 3.185
Sc 1.674 0.737 2.810
Sc 0.000 4.225 14.464
Th 0.000 1.390 5.807
```


(3)
Entry from Alexandria via LeMat-Bulk: crystalline LiAsOs2 at its relaxed geometry (PBE).

Summary:
DFT formation energy = 412 meV/atom
N(E_F) = 4.34 states/eV/cell
Calculated density = 12.8 Mg/m³

```
4
Lattice="2.768 -0.004 0.000 -1.313 2.437 0.000 0.000 0.000 8.930" Properties=species:S:1:pos:R:3 pbc="T T T"
Li 0.728 1.217 6.713
As 0.000 0.000 4.415
Os 0.000 0.000 0.018
Os 0.728 1.217 2.249
```


(4)
Entry from Alexandria via LeMat-Bulk: crystalline PuBeOs at its relaxed geometry (PBE).

Summary:
DFT formation energy = 425 meV/atom
N(E_F) = 6.68 states/eV/cell
ΔE to the lowest computed polymorph = 528 meV/atom
Calculated density = 13.9 Mg/m³

```
3
Lattice="-3.174 -1.495 1.030 -0.807 -0.697 -3.498 3.752 -2.439 1.531" Properties=species:S:1:pos:R:3 pbc="T T T"
Pu 1.048 -2.103 0.177
Be -1.529 -2.021 -1.156
Os -0.504 -4.078 -0.983
```


(5)
Entry from Alexandria via LeMat-Bulk: crystalline GaHg2Rh2 at its relaxed geometry (PBE).

Summary:
DFT formation energy = -172 meV/atom
N(E_F) = 3.83 states/eV/cell
ΔE to the lowest computed polymorph = 0 meV/atom
Calculated density = 12.4 Mg/m³

```
10
Lattice="-2.021 -2.444 -5.600 -3.245 -4.569 3.165 -3.520 2.595 0.137" Properties=species:S:1:pos:R:3 pbc="T T T"
Rh -1.776 -2.241 -3.154
Hg -2.970 -0.271 -1.300
Hg -4.543 -2.285 -3.551
Ga 0.000 0.000 0.000
Hg -4.243 -2.132 1.253
Ga -2.633 -3.506 -1.218
Rh -1.445 -1.976 0.309
Hg -5.816 -4.146 -0.998
Rh -3.490 -4.771 0.719
Rh -3.821 -5.037 -2.744
```


(6)
Entry from Alexandria via LeMat-Bulk: crystalline TbThZn4 at its relaxed geometry (PBE).

Summary:
DFT formation energy = -250 meV/atom
N(E_F) = 7.90 states/eV/cell
ΔE to the lowest computed polymorph = 28 meV/atom
Calculated density = 8.3 Mg/m³

```
6
Lattice="-2.523 -1.527 2.931 -2.400 -1.688 -2.945 6.608 -4.745 0.267" Properties=species:S:1:pos:R:3 pbc="T T T"
Zn -1.771 -2.666 0.036
Th 0.000 0.000 0.000
Zn 3.456 -5.293 0.217
Zn 0.142 -2.913 1.553
Tb 0.873 -4.020 -1.343
Zn 1.482 -4.966 1.638
```


(7)
Entry from Alexandria via LeMat-Bulk: crystalline BeAg2Ir at its relaxed geometry (PBE).

Summary:
DFT formation energy = 554 meV/atom
N(E_F) = 4.98 states/eV/cell
Calculated density = 10.9 Mg/m³

```
8
Lattice="3.627 0.000 0.000 0.000 3.627 0.000 1.814 1.814 9.699" Properties=species:S:1:pos:R:3 pbc="T T T"
Be 1.814 3.627 4.850
Ir 0.000 0.000 0.000
Ag 0.918 2.721 2.425
Ag 4.534 4.523 7.275
Ag 2.721 2.731 7.275
Be 1.814 1.814 0.000
Ag 2.710 0.907 2.425
Ir 3.627 1.814 4.850
```


(8)
Entry from Alexandria via LeMat-Bulk: crystalline Li2Si2Pt at its relaxed geometry (PBE).

Summary:
N(E_F) = 3.05 states/eV/cell
Uncorrected energy = -46.815 eV per cell
Calculated density = 5.7 Mg/m³

```
10
Lattice="6.178 0.000 0.000 0.000 6.178 0.000 0.000 0.000 4.057" Properties=species:S:1:pos:R:3 pbc="T T T"
Li 1.069 4.158 2.029
Pt 3.089 3.089 0.000
Si 5.356 3.910 0.000
Li 2.020 1.069 2.029
Si 0.821 2.268 0.000
Li 4.158 5.109 2.029
Li 5.109 2.020 2.029
Si 2.268 5.356 0.000
Pt 0.000 0.000 0.000
Si 3.910 0.821 0.000
```


(9)
Entry from Alexandria via LeMat-Bulk: crystalline ZrZn at its relaxed geometry (PBE).

Summary:
DFT formation energy = -94 meV/atom
N(E_F) = 2.69 states/eV/cell
Calculated density = 6.7 Mg/m³

```
4
Lattice="-1.948 -2.167 1.290 3.028 -2.715 0.012 1.603 1.813 5.468" Properties=species:S:1:pos:R:3 pbc="T T T"
Zn 0.006 0.007 0.021
Zn 1.736 -1.088 4.731
Zr 0.830 0.938 2.830
Zr 0.912 -2.019 1.922
```


(10)
Entry from Alexandria via LeMat-Bulk: crystalline LaTbPmCd at its relaxed geometry (PBE).

Summary:
DFT formation energy = -18 meV/atom
N(E_F) = 5.80 states/eV/cell
ΔE to the lowest computed polymorph = 130 meV/atom
Calculated density = 7.5 Mg/m³

```
4
Lattice="5.591 0.000 0.000 2.796 4.842 0.000 2.796 1.614 4.565" Properties=species:S:1:pos:R:3 pbc="T T T"
Pm 2.796 1.614 1.141
Cd 8.387 4.842 3.424
Tb 5.591 3.228 2.283
La 0.000 0.000 0.000
```


(11)
Entry from Alexandria via LeMat-Bulk: crystalline ThGaTe2 at its relaxed geometry (PBE).

Summary:
N(E_F) = 2.62 states/eV/cell
ΔE to the lowest computed polymorph = 40 meV/atom
Calculated density = 7.3 Mg/m³

```
4
Lattice="-2.017 -1.366 -3.485 -1.160 -4.078 -0.324 -8.212 -0.053 2.180" Properties=species:S:1:pos:R:3 pbc="T T T"
Ga -5.695 -2.748 -0.815
Te -8.532 -4.125 -1.227
Th 0.000 0.000 0.000
Te -2.857 -1.372 -0.403
```


(12)
Entry from Alexandria via LeMat-Bulk: crystalline YMgRu3 at its relaxed geometry (PBE).

Summary:
DFT formation energy = 1679 meV/atom
N(E_F) = 6.76 states/eV/cell
ΔE to the lowest computed polymorph = 717 meV/atom
Calculated density = 5.8 Mg/m³

```
5
Lattice="4.912 0.000 0.000 0.000 4.912 0.000 0.000 0.000 4.912" Properties=species:S:1:pos:R:3 pbc="T T T"
Mg 2.456 2.456 2.456
Ru 0.000 0.000 2.456
Y 0.000 0.000 0.000
Ru 2.456 0.000 0.000
Ru 0.000 2.456 0.000
```